Record 1
A plane-wave DFT calculation with PBE was carried out for LiTl2GeTe4 after structural relaxation.

Unit cell a=8.684 b=8.684 c=8.843 alpha=120.61 beta=120.61 gamma=89.42
Fractional coordinates of all 16 atoms:
Te 0.762 0.738 0.521
Tl 0.500 0.000 0.500
Te 0.238 0.262 0.021
Te 0.779 0.258 0.018
Tl 0.500 0.500 0.000
Li 0.000 0.500 0.000
Li 0.000 0.500 0.500
Ge 0.500 0.500 0.500
Te 0.762 0.738 0.979
Te 0.221 0.742 0.982
Ge 0.000 0.000 0.000
Tl 0.000 0.000 0.500
Tl 0.500 0.000 0.000
Te 0.238 0.262 0.479
Te 0.758 0.279 0.518
Te 0.242 0.721 0.482

## Properties
DFT total energy   -51.55 eV/cell
Space-group type   Imma (74)
ΔE_f (raw)   -0.2432 eV per atom

Record 2
A plane-wave DFT calculation with PBE was carried out for Li4Tm3GeTe8 after structural relaxation.

Unit cell a=8.567 b=8.542 c=8.566 alpha=120.12 beta=120.00 gamma=90.00
Fractional coordinates of all 16 atoms:
Tm 0.500 0.500 0.000
Te 0.753 0.250 0.997
Tm 0.500 0.500 0.500
Li 0.000 0.000 0.500
Te 0.756 0.750 0.003
Ge 0.000 0.500 0.000
Te 0.752 0.755 0.504
Te 0.247 0.750 0.003
Te 0.248 0.245 0.496
Li 0.500 0.000 0.000
Li 0.000 0.000 0.000
Te 0.244 0.250 0.997
Te 0.753 0.250 0.506
Tm 0.000 0.500 0.500
Li 0.500 0.000 0.500
Te 0.247 0.750 0.494

## Properties
DFT total energy   -67.26 eV/cell
Space-group type   R-3m (166)
ΔE_f (raw)   -1.0272 eV per atom

Record 3
A plane-wave DFT calculation with PBE was carried out for LiZn2GeTe4 after structural relaxation.

Unit cell a=6.254 b=6.254 c=7.707 alpha=113.94 beta=113.94 gamma=89.99
Fractional coordinates of all 8 atoms:
Te 0.115 0.115 0.741
Te 0.885 0.374 0.259
Zn 0.750 0.250 0.500
Te 0.374 0.885 0.259
Li 0.000 0.000 0.000
Ge 0.500 0.500 0.000
Te 0.626 0.626 0.741
Zn 0.250 0.750 0.500

## Properties
DFT total energy   -24.73 eV/cell
Space-group type   I-42m (121)
ΔE_f (raw)   -0.3857 eV per atom